[1]
6
Lattice="0.000 3.431 3.431 3.431 0.000 3.431 3.431 3.431 0.000" Properties=species:S:1:pos:R:3 comment="CaCo4Si | the Alexandria database | PBE | relaxed" dft_energy_ev_per_atom=-5.86 space_group="F-43m (216)" dos_ef_per_ev_atom=1.504 pbc="T T T"
Ca 0.000 0.000 0.000
Co 4.280 2.581 2.581
Co 2.581 4.280 2.581
Co 2.581 2.581 4.280
Co 4.280 4.280 4.280
Si 1.715 1.715 1.715

***

[2]
10
Lattice="-2.399 2.399 11.165 2.399 -2.399 11.165 2.399 2.399 -11.165" Properties=species:S:1:pos:R:3 comment="SrMg2Ag2 | the Alexandria database | PBE | relaxed" dft_energy_ev_per_atom=-2.32 space_group="I4/mmm (139)" e_form_ev_per_fu=-1.04 dos_ef_per_ev_atom=0.541 relative_energy_ev_per_atom=0.038 pbc="T T T"
Sr 0.000 0.000 2.917
Sr 0.000 0.000 19.413
Mg 2.399 0.000 0.000
Mg 0.000 0.000 6.939
Mg 0.000 2.399 0.000
Mg 0.000 0.000 15.391
Ag 2.399 0.000 5.582
Ag 0.000 0.000 9.651
Ag 0.000 0.000 12.679
Ag 0.000 2.399 5.582

***

[3]
6
Lattice="3.855 0.000 0.000 0.000 4.275 0.000 0.000 0.000 7.593" Properties=species:S:1:pos:R:3 comment="Sm2PPt3 | the Alexandria database | PBE | relaxed" dft_energy_ev_per_atom=-6.66 space_group="Pmm2 (25)" e_form_ev_per_fu=-6.97 dos_ef_per_ev_atom=0.472 relative_energy_ev_per_atom=0.011 pbc="T T T"
Sm 0.000 0.000 0.000
Sm 0.000 2.138 3.739
P 1.928 2.138 6.163
Pt 1.928 0.000 2.523
Pt 1.928 0.000 5.224
Pt 1.928 2.138 0.924

***

[4]
4
Lattice="3.984 0.000 0.000 0.000 3.984 0.000 0.000 0.000 3.411" Properties=species:S:1:pos:R:3 comment="Co2ReAu | the Alexandria database | PBE | relaxed" dft_energy_ev_per_atom=-7.06 space_group="P4/mmm (123)" e_form_ev_per_fu=1.71 dos_ef_per_ev_atom=1.222 relative_energy_ev_per_atom=0.274 pbc="T T T"
Co 0.000 1.992 0.000
Co 1.992 0.000 0.000
Re 0.000 0.000 1.705
Au 1.992 1.992 1.705